No. 1
LaNdCu2: relaxed, PBE.

Cell: 4.563 5.749 5.749 Å, 39.66 90.00 90.00°
Positions (direct):
Cu (0.500, 0.067, 0.067)
Cu (0.000, 0.935, 0.935)
La (0.500, 0.358, 0.358)
Nd (0.000, 0.640, 0.640)

**Formation enthalpy at 0 K**: -0.173 eV per atom
**Energy relative to the lowest polymorph listed for this composition**: 0.010 eV/atom
**Magnetization**: 0.0 μB per cell
**Total energy**: -17.811 eV/cell
**Crystal system**: orthorhombic
**SG**: Amm2, No. 38

No. 2
LaNd2Cu2Si4Ni2: relaxed, PBE.

Cell: 12.068 12.068 12.068 Å, 160.27 160.13 28.14°
Positions (direct):
Cu (0.600, 0.100, 0.500)
Cu (0.400, 0.900, 0.500)
La (0.000, 0.000, 0.000)
Nd (0.848, 0.348, 0.500)
Nd (0.152, 0.652, 0.500)
Ni (0.249, 0.249, 0.000)
Ni (0.751, 0.751, 0.000)
Si (0.448, 0.448, 0.000)
Si (0.552, 0.552, 0.000)
Si (0.702, 0.202, 0.500)
Si (0.298, 0.798, 0.500)

**Magnetization**: 0.0 μB per cell
**Total energy**: -62.444 eV/cell
**Crystal system**: orthorhombic
**SG**: Immm, No. 71

No. 3
La2NdCu2Si4Ni2: relaxed, PBE.

Cell: 12.248 12.248 12.248 Å, 160.56 160.37 27.77°
Positions (direct):
Cu (0.599, 0.099, 0.500)
Cu (0.401, 0.901, 0.500)
La (0.848, 0.348, 0.500)
La (0.152, 0.652, 0.500)
Nd (0.000, 0.000, 0.000)
Ni (0.249, 0.249, 0.000)
Ni (0.751, 0.751, 0.000)
Si (0.450, 0.450, 0.000)
Si (0.550, 0.550, 0.000)
Si (0.702, 0.202, 0.500)
Si (0.298, 0.798, 0.500)

**Magnetization**: 0.0 μB per cell
**Total energy**: -62.559 eV/cell
**Crystal system**: orthorhombic
**SG**: Immm, No. 71

No. 4
LaNd2Cu2Si4Pd2: relaxed, PBE.

Cell: 12.496 12.496 12.496 Å, 160.79 160.45 27.54°
Positions (direct):
Cu (0.249, 0.249, 0.000)
Cu (0.751, 0.751, 0.000)
La (0.000, 0.000, 0.000)
Nd (0.652, 0.152, 0.500)
Nd (0.348, 0.848, 0.500)
Pd (0.902, 0.402, 0.500)
Pd (0.098, 0.598, 0.500)
Si (0.451, 0.451, 0.000)
Si (0.549, 0.549, 0.000)
Si (0.802, 0.302, 0.500)
Si (0.198, 0.698, 0.500)

**Energy relative to the lowest polymorph listed for this composition**: 0.000 eV/atom
**Magnetization**: 0.0 μB per cell
**Total energy**: -62.431 eV/cell
**Crystal system**: orthorhombic
**SG**: Immm, No. 71

No. 5
LaNd2Cu2Si4Pd2: relaxed, PBE.

Cell: 12.329 12.329 12.329 Å, 160.43 160.02 28.11°
Positions (direct):
Cu (0.597, 0.097, 0.500)
Cu (0.403, 0.903, 0.500)
La (0.000, 0.000, 0.000)
Nd (0.852, 0.352, 0.500)
Nd (0.148, 0.648, 0.500)
Pd (0.249, 0.249, 0.000)
Pd (0.751, 0.751, 0.000)
Si (0.449, 0.449, 0.000)
Si (0.551, 0.551, 0.000)
Si (0.695, 0.195, 0.500)
Si (0.305, 0.805, 0.500)

**Energy relative to the lowest polymorph listed for this composition**: 0.007 eV/atom
**Magnetization**: 0.0 μB per cell
**Total energy**: -62.358 eV/cell
**Crystal system**: orthorhombic
**SG**: Immm, No. 71

No. 6
La2NdCu2Si4Pt2: relaxed, PBE.

Cell: 12.581 12.581 12.581 Å, 160.90 160.57 27.38°
Positions (direct):
Cu (0.596, 0.096, 0.500)
Cu (0.404, 0.904, 0.500)
La (0.855, 0.355, 0.500)
La (0.145, 0.645, 0.500)
Nd (0.000, 0.000, 0.000)
Pt (0.249, 0.249, 0.000)
Pt (0.751, 0.751, 0.000)
Si (0.451, 0.451, 0.000)
Si (0.549, 0.549, 0.000)
Si (0.695, 0.195, 0.500)
Si (0.305, 0.805, 0.500)

**Magnetization**: 0.0 μB per cell
**Total energy**: -64.899 eV/cell
**Crystal system**: orthorhombic
**SG**: Immm, No. 71

No. 7
La2NdCu4Si4: relaxed, PBE.

Cell: 12.320 12.320 12.320 Å, 160.56 160.34 27.78°
Positions (direct):
Cu (0.250, 0.250, 0.000)
Cu (0.750, 0.750, 0.000)
Cu (0.597, 0.097, 0.500)
Cu (0.403, 0.903, 0.500)
La (0.849, 0.349, 0.500)
La (0.151, 0.651, 0.500)
Nd (0.000, 0.000, 0.000)
Si (0.450, 0.450, 0.000)
Si (0.550, 0.550, 0.000)
Si (0.697, 0.197, 0.500)
Si (0.303, 0.803, 0.500)

**Magnetization**: 0.0 μB per cell
**Total energy**: -57.921 eV/cell
**Crystal system**: orthorhombic
**SG**: Immm, No. 71

No. 8
LaNdCu2Si2: relaxed, PBE.

Cell: 4.226 4.226 8.121 Å, 90.00 90.00 120.00°
Positions (direct):
Cu (0.333, 0.667, 0.244)
Cu (0.667, 0.333, 0.756)
La (0.000, 0.000, 0.500)
Nd (0.000, 0.000, 0.000)
Si (0.667, 0.333, 0.244)
Si (0.333, 0.667, 0.756)

**Magnetization**: 0.0 μB per cell
**Total energy**: -31.689 eV/cell
**Crystal system**: trigonal
**SG**: P-3m1, No. 164